# Ce2NbSi4Pt3

Ce2NbSi4Pt3 after structural relaxation (GGA-PBE, the Alexandria database).

Results
- Total energy: -0.5252 Ry/atom
- Fermi-level density of states: 11.19 states/eV/f.u.
- Formation energy from raw total energies: -971 meV/atom

abc: 4.247 4.247 10.182
angles: 90.00 90.00 90.00
Last column: magnetic moment on the atom in μB.
Positions (direct):
Si  0.000  0.500  0.357  -0.01
Pt  0.500  0.000  0.883  0.00
Si  0.500  0.000  0.643  -0.01
Ce  0.500  0.000  0.241  0.60
Pt  0.000  0.500  0.117  0.00
Si  0.500  0.500  0.000  0.00
Si  0.000  0.000  0.000  0.00
Nb  0.500  0.500  0.500  0.34
Pt  0.000  0.000  0.500  0.03
Ce  0.000  0.500  0.759  0.60